# PBE-GGA LaBe3Pt, relaxed
data_LaBe3Pt
_chemical_formula_sum 'La2 Be6 Pt2'
_cell_length_a 4.205
_cell_length_b 5.937
_cell_length_c 6.422
_cell_angle_alpha 92.06
_cell_angle_beta 90.01
_cell_angle_gamma 107.31
_space_group_name_H-M_alt 'P 1'
_space_group_IT_number 1
loop_
_space_group_symop_operation_xyz
'x,y,z'
loop_
_atom_site_label
_atom_site_type_symbol
_atom_site_fract_x
_atom_site_fract_y
_atom_site_fract_z
La1 La 0.000 0.000 0.000
La2 La 0.274 0.579 0.709
Be1 Be 0.014 0.009 0.508
Be2 Be 0.391 0.282 0.346
Be3 Be 0.502 0.944 0.361
Be4 Be 0.682 0.400 0.050
Be5 Be 0.786 0.651 0.341
Be6 Be 0.879 0.291 0.346
Pt1 Pt 0.266 0.587 0.182
Pt2 Pt 0.582 0.186 0.677
# energy relative to the elements: -43.65 kJ per mole of atoms
# energy above the lowest structure with this stoichiometry: 0.038 eV per atom

=====

# PBE-GGA AgRuBr6, relaxed
data_AgRuBr6
_chemical_formula_sum 'Ag2 Ru2 Br12'
_cell_length_a 7.253
_cell_length_b 11.439
_cell_length_c 7.208
_cell_angle_alpha 90.00
_cell_angle_beta 117.35
_cell_angle_gamma 90.00
_space_group_name_H-M_alt 'C 1 2/m 1'
_space_group_IT_number 12
loop_
_space_group_symop_operation_xyz
'x,y,z'
'-x,-y,-z'
'-x,y,-z'
'x,-y,z'
'x+1/2,y+1/2,z'
'-x+1/2,-y+1/2,-z'
'-x+1/2,y+1/2,-z'
'x+1/2,-y+1/2,z'
loop_
_atom_site_label
_atom_site_type_symbol
_atom_site_fract_x
_atom_site_fract_y
_atom_site_fract_z
Ag1 Ag 0.000 0.000 0.000
Ru1 Ru 0.000 0.500 0.500
Br1 Br 0.199 0.500 0.304
Br2 Br 0.240 0.345 0.742
# E_form (uncorrected): -0.1978 eV per atom
# energy above the lowest structure with this stoichiometry: 0.000 eV per atom

=====

A geometry-optimized PrH5Pd2 structure. Source: Alexandria, functional PBE-GGA.

CIF file:
```
data_PrH5Pd2
_chemical_formula_sum 'Pr2 H10 Pd4'
_cell_length_a 3.708
_cell_length_b 3.708
_cell_length_c 11.896
_cell_angle_alpha 90.00
_cell_angle_beta 90.00
_cell_angle_gamma 90.00
_space_group_name_H-M_alt 'I 4/m m m'
_space_group_IT_number 139
_space_group_name_Hall '-I 4 2'
loop_
_atom_site_label
_atom_site_type_symbol
_atom_site_fract_x
_atom_site_fract_y
_atom_site_fract_z
Pr1 Pr 0.000 0.000 0.000
H1 H 0.000 0.000 0.500
H2 H 0.000 0.500 0.145
Pd1 Pd 0.000 0.000 0.346
```

=====

# PBE-GGA Li2LaCdIr, relaxed
data_Li2LaCdIr
_chemical_formula_sum 'Li2 La1 Cd1 Ir1'
_cell_length_a 5.648
_cell_length_b 5.648
_cell_length_c 4.896
_cell_angle_alpha 90.00
_cell_angle_beta 90.00
_cell_angle_gamma 90.00
_space_group_name_H-M_alt 'P 4/m m m'
_space_group_IT_number 123
_space_group_name_Hall '-P 4 2'
loop_
_atom_site_label
_atom_site_type_symbol
_atom_site_fract_x
_atom_site_fract_y
_atom_site_fract_z
Li1 Li 0.000 0.500 0.000
La1 La 0.000 0.000 0.000
Cd1 Cd 0.500 0.500 0.500
Ir1 Ir 0.000 0.000 0.500
# energy relative to the elements: 81.55 kJ per mole of atoms

=====

# PBE-GGA Na2MgAu2, relaxed
data_Na2MgAu2
_chemical_formula_sum 'Na4 Mg2 Au4'
_cell_length_a 4.588
_cell_length_b 5.618
_cell_length_c 9.128
_cell_angle_alpha 90.00
_cell_angle_beta 90.00
_cell_angle_gamma 90.00
_space_group_name_H-M_alt 'I m m m'
_space_group_IT_number 71
_space_group_name_Hall '-I 2 2'
loop_
_atom_site_label
_atom_site_type_symbol
_atom_site_fract_x
_atom_site_fract_y
_atom_site_fract_z
Na1 Na 0.000 0.000 0.198
Mg1 Mg 0.000 0.500 0.000
Au1 Au 0.000 0.258 0.500
# energy relative to the elements: -33.10 kJ per mole of atoms
# energy above the lowest structure with this stoichiometry: 0.000 eV per atom

=====

# PBE-GGA PmGa3CuIr, relaxed
data_PmGa3CuIr
_chemical_formula_sum 'Pm4 Ga12 Cu4 Ir4'
_cell_length_a 6.152
_cell_length_b 11.673
_cell_length_c 6.382
_cell_angle_alpha 90.00
_cell_angle_beta 90.00
_cell_angle_gamma 90.00
_space_group_name_H-M_alt 'C m c m'
_space_group_IT_number 63
_space_group_name_Hall '-C 2c 2'
loop_
_atom_site_label
_atom_site_type_symbol
_atom_site_fract_x
_atom_site_fract_y
_atom_site_fract_z
Pm1 Pm 0.000 0.221 0.250
Ga1 Ga 0.000 0.331 0.750
Ga2 Ga 0.215 0.000 0.000
Cu1 Cu 0.000 0.463 0.250
Ir1 Ir 0.000 0.125 0.750
# energy relative to the elements: -31.35 kJ per mole of atoms

=====

# PBE-GGA PaGaFeCu, relaxed
data_PaGaFeCu
_chemical_formula_sum 'Pa4 Ga4 Fe4 Cu4'
_cell_length_a 6.413
_cell_length_b 6.413
_cell_length_c 6.413
_cell_angle_alpha 90.00
_cell_angle_beta 90.00
_cell_angle_gamma 90.00
_space_group_name_H-M_alt 'F -4 3 m'
_space_group_IT_number 216
_space_group_name_Hall 'F -4 2 3'
loop_
_atom_site_label
_atom_site_type_symbol
_atom_site_fract_x
_atom_site_fract_y
_atom_site_fract_z
Pa1 Pa 0.000 0.000 0.000
Ga1 Ga 0.000 0.000 0.500
Fe1 Fe 0.250 0.250 0.250
Cu1 Cu 0.250 0.250 0.750
# energy relative to the elements: -4.42 kJ per mole of atoms

=====

# PBE-GGA TbPr2Sm12, relaxed
data_TbPr2Sm12
_chemical_formula_sum 'Tb4 Pr8 Sm48'
_cell_length_a 7.185
_cell_length_b 11.569
_cell_length_c 25.031
_cell_angle_alpha 90.00
_cell_angle_beta 90.00
_cell_angle_gamma 90.00
_space_group_name_H-M_alt 'C m m e'
_space_group_IT_number 67
_space_group_name_Hall '-C 2a 2'
loop_
_atom_site_label
_atom_site_type_symbol
_atom_site_fract_x
_atom_site_fract_y
_atom_site_fract_z
Tb1 Tb 0.000 0.250 0.000
Pr1 Pr 0.000 0.250 0.266
Pr2 Pr 0.000 0.250 0.726
Sm1 Sm 0.000 0.001 0.076
Sm2 Sm 0.000 0.024 0.560
Sm3 Sm 0.230 0.250 0.418
Sm4 Sm 0.249 0.250 0.873
Sm5 Sm 0.250 0.000 0.199
Sm6 Sm 0.250 0.000 0.327
# energy relative to the elements: 14.83 kJ per mole of atoms

=====

# PBE-GGA MgSi, relaxed
data_MgSi
_chemical_formula_sum 'Mg12 Si12'
_cell_length_a 5.943
_cell_length_b 6.036
_cell_length_c 13.072
_cell_angle_alpha 90.00
_cell_angle_beta 95.35
_cell_angle_gamma 90.00
_space_group_name_H-M_alt 'P 1 21 1'
_space_group_IT_number 4
loop_
_space_group_symop_operation_xyz
'x,y,z'
'-x,y+1/2,-z'
loop_
_atom_site_label
_atom_site_type_symbol
_atom_site_fract_x
_atom_site_fract_y
_atom_site_fract_z
Mg1 Mg 0.045 0.000 0.102
Mg2 Mg 0.116 0.141 0.557
Mg3 Mg 0.205 0.894 0.758
Mg4 Mg 0.267 0.498 0.113
Mg5 Mg 0.406 0.396 0.769
Mg6 Mg 0.416 0.627 0.560
Si1 Si 0.012 0.557 0.641
Si2 Si 0.109 0.720 0.277
Si3 Si 0.296 0.213 0.276
Si4 Si 0.312 0.800 0.956
Si5 Si 0.329 0.202 0.953
Si6 Si 0.450 0.560 0.359
# E_form (uncorrected): 0.0234 eV per atom

=====

# PBE-GGA FeBi2Sb, relaxed
data_FeBi2Sb
_chemical_formula_sum 'Fe4 Bi8 Sb4'
_cell_length_a 6.429
_cell_length_b 6.429
_cell_length_c 13.341
_cell_angle_alpha 90.00
_cell_angle_beta 90.00
_cell_angle_gamma 90.00
_space_group_name_H-M_alt 'I -4 2 d'
_space_group_IT_number 122
_space_group_name_Hall 'I -4 2bw'
loop_
_atom_site_label
_atom_site_type_symbol
_atom_site_fract_x
_atom_site_fract_y
_atom_site_fract_z
Fe1 Fe 0.000 0.000 0.000
Bi1 Bi 0.193 0.250 0.125
Sb1 Sb 0.000 0.000 0.500
# E_form (uncorrected): 0.4842 eV per atom

=====

# PBE-GGA Al3GaIr, relaxed
data_Al3GaIr
_chemical_formula_sum 'Al3 Ga1 Ir1'
_cell_length_a 4.583
_cell_length_b 4.583
_cell_length_c 4.583
_cell_angle_alpha 90.00
_cell_angle_beta 90.00
_cell_angle_gamma 90.00
_space_group_name_H-M_alt 'P m -3 m'
_space_group_IT_number 221
_space_group_name_Hall '-P 4 2 3'
loop_
_atom_site_label
_atom_site_type_symbol
_atom_site_fract_x
_atom_site_fract_y
_atom_site_fract_z
Al1 Al 0.000 0.000 0.500
Ga1 Ga 0.000 0.000 0.000
Ir1 Ir 0.500 0.500 0.500
# energy relative to the elements: 88.45 kJ per mole of atoms
# energy above the lowest structure with this stoichiometry: 1.205 eV per atom

=====

# PBE-GGA MoAs2Cl, relaxed
data_MoAs2Cl
_chemical_formula_sum 'Mo4 As8 Cl4'
_cell_length_a 6.603
_cell_length_b 6.603
_cell_length_c 6.603
_cell_angle_alpha 90.00
_cell_angle_beta 90.00
_cell_angle_gamma 90.00
_space_group_name_H-M_alt 'F m -3 m'
_space_group_IT_number 225
_space_group_name_Hall '-F 4 2 3'
loop_
_atom_site_label
_atom_site_type_symbol
_atom_site_fract_x
_atom_site_fract_y
_atom_site_fract_z
Mo1 Mo 0.000 0.000 0.000
As1 As 0.250 0.250 0.250
Cl1 Cl 0.000 0.000 0.500
# E_form (uncorrected): 0.7010 eV per atom
# energy above the lowest structure with this stoichiometry: 0.842 eV per atom

=====

# PBE-GGA Cs2NpBr7, relaxed
data_Cs2NpBr7
_chemical_formula_sum 'Cs8 Np4 Br28'
_cell_length_a 19.239
_cell_length_b 8.733
_cell_length_c 13.406
_cell_angle_alpha 90.00
_cell_angle_beta 130.90
_cell_angle_gamma 90.00
_space_group_name_H-M_alt 'C 1 2/c 1'
_space_group_IT_number 15
loop_
_space_group_symop_operation_xyz
'x,y,z'
'-x,-y,-z'
'-x,y,-z+1/2'
'x,-y,z+1/2'
'x+1/2,y+1/2,z'
'-x+1/2,-y+1/2,-z'
'-x+1/2,y+1/2,-z+1/2'
'x+1/2,-y+1/2,z+1/2'
loop_
_atom_site_label
_atom_site_type_symbol
_atom_site_fract_x
_atom_site_fract_y
_atom_site_fract_z
Cs1 Cs 0.138 0.162 0.051
Np1 Np 0.000 0.288 0.250
Br1 Br 0.000 0.390 0.750
Br2 Br 0.087 0.013 0.250
Br3 Br 0.088 0.292 0.510
Br4 Br 0.167 0.377 0.318
# E_form (uncorrected): -1.3345 eV per atom
# energy above the lowest structure with this stoichiometry: 0.000 eV per atom

=====

# PBE-GGA LaY2PbC, relaxed
data_LaY2PbC
_chemical_formula_sum 'La1 Y2 Pb1 C1'
_cell_length_a 4.968
_cell_length_b 4.968
_cell_length_c 5.211
_cell_angle_alpha 90.00
_cell_angle_beta 90.00
_cell_angle_gamma 90.00
_space_group_name_H-M_alt 'P 4/m m m'
_space_group_IT_number 123
_space_group_name_Hall '-P 4 2'
loop_
_atom_site_label
_atom_site_type_symbol
_atom_site_fract_x
_atom_site_fract_y
_atom_site_fract_z
La1 La 0.000 0.000 0.000
Y1 Y 0.000 0.500 0.500
Pb1 Pb 0.500 0.500 0.000
C1 C 0.000 0.000 0.500
# energy relative to the elements: -47.64 kJ per mole of atoms

=====

# PBE-GGA LiRu2Br, relaxed
data_LiRu2Br
_chemical_formula_sum 'Li2 Ru4 Br2'
_cell_length_a 3.453
_cell_length_b 3.453
_cell_length_c 14.813
_cell_angle_alpha 90.00
_cell_angle_beta 90.00
_cell_angle_gamma 90.00
_space_group_name_H-M_alt 'I 4/m m m'
_space_group_IT_number 139
_space_group_name_Hall '-I 4 2'
loop_
_atom_site_label
_atom_site_type_symbol
_atom_site_fract_x
_atom_site_fract_y
_atom_site_fract_z
Li1 Li 0.000 0.000 0.000
Ru1 Ru 0.000 0.500 0.250
Br1 Br 0.000 0.000 0.500
# E_form (uncorrected): 0.4608 eV per atom
# energy above the lowest structure with this stoichiometry: 0.297 eV per atom

=====

# PBE-GGA TbY3Tm7, relaxed
data_TbY3Tm7
_chemical_formula_sum 'Tb1 Y3 Tm7'
_cell_length_a 6.9706
_cell_length_b 6.9706
_cell_length_c 8.5544
_cell_angle_alpha 90.00
_cell_angle_beta 90.00
_cell_angle_gamma 120.00
_space_group_name_H-M_alt 'P 3 m 1'
_space_group_IT_number 156
loop_
_space_group_symop_operation_xyz
'x,y,z'
'-y,x-y,z'
'-x+y,-x,z'
'-y,-x,z'
'-x+y,y,z'
'x,x-y,z'
loop_
_atom_site_label
_atom_site_type_symbol
_atom_site_fract_x
_atom_site_fract_y
_atom_site_fract_z
Tb1 Tb 0.0000 0.0000 0.0000
Y1 Y 0.1669 0.3337 0.3381
Tm1 Tm 0.0023 0.5011 0.0003
Tm2 Tm 0.3311 0.1655 0.6739
Tm3 Tm 0.3333 0.6667 0.6745
# energy relative to the elements: 19.23 kJ per mole of atoms
# energy above the lowest structure with this stoichiometry: 0.030 eV per atom

=====

# PBE-GGA YCd2NiAu, relaxed
data_YCd2NiAu
_chemical_formula_sum 'Y1 Cd2 Ni1 Au1'
_cell_length_a 5.913
_cell_length_b 5.913
_cell_length_c 5.440
_cell_angle_alpha 90.00
_cell_angle_beta 90.00
_cell_angle_gamma 90.00
_space_group_name_H-M_alt 'P 4/m m m'
_space_group_IT_number 123
_space_group_name_Hall '-P 4 2'
loop_
_atom_site_label
_atom_site_type_symbol
_atom_site_fract_x
_atom_site_fract_y
_atom_site_fract_z
Y1 Y 0.000 0.000 0.000
Cd1 Cd 0.000 0.500 0.000
Ni1 Ni 0.500 0.500 0.500
Au1 Au 0.000 0.000 0.500
# energy relative to the elements: 110.18 kJ per mole of atoms

=====

# PBE-GGA ZrAs2Pt, relaxed
data_ZrAs2Pt
_chemical_formula_sum 'Zr2 As4 Pt2'
_cell_length_a 6.126
_cell_length_b 8.638
_cell_length_c 3.001
_cell_angle_alpha 90.00
_cell_angle_beta 112.80
_cell_angle_gamma 90.00
_space_group_name_H-M_alt 'C 1 2/m 1'
_space_group_IT_number 12
loop_
_space_group_symop_operation_xyz
'x,y,z'
'-x,-y,-z'
'-x,y,-z'
'x,-y,z'
'x+1/2,y+1/2,z'
'-x+1/2,-y+1/2,-z'
'-x+1/2,y+1/2,-z'
'x+1/2,-y+1/2,z'
loop_
_atom_site_label
_atom_site_type_symbol
_atom_site_fract_x
_atom_site_fract_y
_atom_site_fract_z
Zr1 Zr 0.000 0.000 0.000
As1 As 0.250 0.250 0.500
Pt1 Pt 0.000 0.500 0.000
# energy relative to the elements: -34.57 kJ per mole of atoms

=====

# PBE-GGA MnAgS, relaxed
data_MnAgS
_chemical_formula_sum 'Mn8 Ag8 S8'
_cell_length_a 12.493
_cell_length_b 3.525
_cell_length_c 10.467
_cell_angle_alpha 90.00
_cell_angle_beta 102.32
_cell_angle_gamma 90.00
_space_group_name_H-M_alt 'C 1 2/m 1'
_space_group_IT_number 12
loop_
_space_group_symop_operation_xyz
'x,y,z'
'-x,-y,-z'
'-x,y,-z'
'x,-y,z'
'x+1/2,y+1/2,z'
'-x+1/2,-y+1/2,-z'
'-x+1/2,y+1/2,-z'
'x+1/2,-y+1/2,z'
loop_
_atom_site_label
_atom_site_type_symbol
_atom_site_fract_x
_atom_site_fract_y
_atom_site_fract_z
Mn1 Mn 0.125 0.000 0.426
Mn2 Mn 0.227 0.000 0.857
Ag1 Ag 0.006 0.000 0.824
Ag2 Ag 0.060 0.500 0.631
S1 S 0.151 0.000 0.053
S2 S 0.245 0.500 0.361
# E_form (uncorrected): -0.1250 eV per atom

=====

# PBE-GGA B8O, relaxed
data_B8O
_chemical_formula_sum 'B48 O6'
_cell_length_a 7.358
_cell_length_b 5.319
_cell_length_c 10.272
_cell_angle_alpha 90.00
_cell_angle_beta 92.39
_cell_angle_gamma 90.00
_space_group_name_H-M_alt 'P 1 21/m 1'
_space_group_IT_number 11
loop_
_space_group_symop_operation_xyz
'x,y,z'
'-x,-y,-z'
'-x,y+1/2,-z'
'x,-y+1/2,z'
loop_
_atom_site_label
_atom_site_type_symbol
_atom_site_fract_x
_atom_site_fract_y
_atom_site_fract_z
B1 B 0.031 0.250 0.199
B2 B 0.046 0.250 0.687
B3 B 0.076 0.085 0.046
B4 B 0.081 0.081 0.543
B5 B 0.176 0.531 0.699
B6 B 0.186 0.510 0.199
B7 B 0.242 0.250 0.797
B8 B 0.243 0.250 0.961
B9 B 0.249 0.250 0.297
B10 B 0.249 0.250 0.461
B11 B 0.308 0.512 0.057
B12 B 0.309 0.515 0.559
B13 B 0.411 0.080 0.714
B14 B 0.417 0.084 0.210
B15 B 0.449 0.250 0.567
B16 B 0.450 0.250 0.063
O1 O 0.133 0.750 0.257
O2 O 0.369 0.750 0.997
O3 O 0.372 0.750 0.497
# E_form (uncorrected): -0.5271 eV per atom
# energy above the lowest structure with this stoichiometry: 0.000 eV per atom

=====

| no. | raw total energy (Ry per atom) |
| --- | --- |
| 1 | -0.359 |
| 2 | -0.218 |
| 3 | -0.317 |
| 4 | -0.210 |
| 5 | -0.184 |
| 6 | -0.352 |
| 7 | -0.464 |
| 8 | -0.336 |
| 9 | -0.256 |
| 10 | -0.338 |
| 11 | -0.272 |
| 12 | -0.352 |
| 13 | -0.292 |
| 14 | -0.489 |
| 15 | -0.373 |
| 16 | -0.355 |
| 17 | -0.171 |
| 18 | -0.465 |
| 19 | -0.405 |
| 20 | -0.515 |